Here is crystalline CuBi2HN at its relaxed geometry from the Alexandria database. Energies are from PBE.

POSCAR file:
```
CuBi2HN
1.0
5.242 0.000 0.000
0.000 5.242 0.000
0.000 0.000 2.935
Cu Bi H N
1 2 1 1
direct
0.000 0.000 0.000
0.000 0.500 0.500
0.500 0.000 0.500
0.500 0.500 0.500
0.500 0.500 0.000
```

Calculated values
As for the space group: No. 123. As for the density: 10.2 Mg/m³.

---

Here is crystalline YMnCd2 at its relaxed geometry from the Alexandria database. Energies are from PBE.

POSCAR file:
```
YMnCd2
1.0
-2.042 2.042 10.616
2.042 -2.042 10.616
2.042 2.042 -10.616
Y Mn Cd
2 2 4
direct
0.000 0.000 0.000
0.750 0.250 0.500
0.250 0.750 0.500
0.500 0.500 0.000
0.150 0.625 0.025
0.375 0.400 0.525
0.600 0.125 0.975
0.875 0.850 0.475
```

Calculated values
As for the space group: No. 122. Its formation enthalpy at 0 K is 13.29 kcal/mol of atoms. As for the density: 6.9 Mg/m³.

---

Here is crystalline Sm8Cu2Pd at its relaxed geometry from the Alexandria database. Energies are from PBE.

POSCAR file:
```
Sm8Cu2Pd
1.0
8.969 -2.579 0.000
8.969 2.579 0.000
-1.913 0.000 6.569
Sm Cu Pd
8 2 1
direct
0.031 0.031 0.285
0.199 0.199 0.840
0.330 0.330 0.511
0.409 0.409 0.042
0.591 0.591 0.958
0.670 0.670 0.489
0.801 0.801 0.160
0.969 0.969 0.715
0.181 0.181 0.236
0.819 0.819 0.764
0.500 0.500 0.500
```

Calculated values
As for the space group: No. 12. Its formation enthalpy at 0 K is -4.22 kcal/mol of atoms. As for the density: 7.8 Mg/m³.

---

Here is crystalline YSb2Cl at its relaxed geometry from the Alexandria database. Energies are from PBE.

POSCAR file:
```
YSb2Cl
1.0
5.553 0.000 0.000
0.000 5.553 0.000
0.000 0.000 3.420
Y Sb Cl
1 2 1
direct
0.000 0.000 0.000
0.000 0.500 0.500
0.500 0.000 0.500
0.500 0.500 0.000
```

Calculated values
As for the space group: No. 123. The calculation puts the energy relative to the elements, uncorrected at -388 meV per atom. As for the density: 5.8 Mg/m³.

---

Here is crystalline PaNi2Ge at its relaxed geometry from the Alexandria database. Energies are from PBE.

POSCAR file:
```
PaNi2Ge
1.0
3.323 0.000 0.000
0.000 4.063 0.000
0.000 0.000 5.100
Pa Ni Ge
1 2 1
direct
0.000 0.000 0.000
0.500 0.500 0.243
0.500 0.500 0.757
0.500 0.000 0.500
```

Calculated values
As for the space group: No. 47. Its formation enthalpy at 0 K is -7.46 kcal/mol of atoms. As for the density: 10.2 Mg/m³.

---

Here is crystalline InAs2P at its relaxed geometry from the Alexandria database. Energies are from PBE.

POSCAR file:
```
InAs2P
1.0
-2.835 2.835 6.619
2.835 -2.835 6.619
2.835 2.835 -6.619
In As P
2 4 2
direct
0.000 0.000 0.000
0.750 0.250 0.500
0.166 0.625 0.041
0.375 0.416 0.541
0.584 0.125 0.959
0.875 0.834 0.459
0.250 0.750 0.500
0.500 0.500 0.000
```

Calculated values
As for the space group: No. 122. Its formation enthalpy at 0 K is 4.31 kcal/mol of atoms. As for the density: 4.6 Mg/m³.

---

Number 1: M_tot 0.0 μB/cell, DFT total energy -3.881 eV/atom. Number 2: M_tot 0.1 μB/cell, DFT total energy -3.790 eV/atom. Number 3: M_tot 0.0 μB/cell, DFT total energy -4.832 eV/atom. Number 4: M_tot 0.0 μB/cell, DFT total energy -4.527 eV/atom. Number 5: M_tot 0.0 μB/cell, DFT total energy -6.742 eV/atom. Number 6: M_tot 0.0 μB/cell, DFT total energy -4.175 eV/atom.